TmZn2Ag: relaxed, PBE.

Results
Its space-group type is P4/mmm. The calculation puts the calculated density at 8.99 g/cm3. The calculation puts the total magnetic moment at 0.002 μB per formula unit. As for the energy of formation: -182 meV per atom.

Lattice parameters (Å, degrees): 3.327 3.327 6.800 90.00 90.00 90.00
Element x y z (fractional)
Zn 0.000 0.000 0.782
Zn 0.000 0.000 0.218
Tm 0.500 0.500 0.500
Ag 0.500 0.500 0.000